[1]
{
  "formula": "Tb2Tl3In",
  "functional": "PBE",
  "state": "optimized geometry",
  "lattice_angstrom": [[2.335, -7.339, 0.000], [2.335, 7.339, 0.000], [0.000, 0.000, 4.669]],
  "species": ["In", "Tb", "Tb", "Tl", "Tl", "Tl"],
  "fractional_positions": [[0.000, 0.000, 0.500], [0.846, 0.154, 0.000], [0.154, 0.846, 0.000], [0.500, 0.500, 0.000], [0.675, 0.325, 0.500], [0.325, 0.675, 0.500]],
  "polymorph_energy_mev_per_atom": 0,
  "crystal_system": "orthorhombic"
}

[2]
{
  "formula": "TbTlIn2",
  "functional": "PBE",
  "state": "optimized geometry",
  "lattice_angstrom": [[4.683, 0.000, 0.000], [0.000, 4.683, 0.000], [0.000, 0.000, 4.697]],
  "species": ["In", "In", "Tb", "Tl"],
  "fractional_positions": [[0.500, 0.000, 0.500], [0.000, 0.500, 0.500], [0.000, 0.000, 0.000], [0.500, 0.500, 0.000]],
  "final_energy_ev_per_fu": -13.86,
  "crystal_system": "tetragonal"
}

[3]
{
  "formula": "TbTl2In",
  "functional": "PBE",
  "state": "optimized geometry",
  "lattice_angstrom": [[-3.185, -3.138, 1.526], [2.062, -0.025, 4.251], [-2.808, 3.523, 1.382]],
  "species": ["In", "Tb", "Tl", "Tl"],
  "fractional_positions": [[0.000, 0.000, 0.000], [0.500, 0.500, 0.000], [0.500, 0.000, 0.500], [0.000, 0.500, 0.500]],
  "final_energy_ev_per_fu": -13.24,
  "crystal_system": "tetragonal"
}

| no. | density (Mg/m³) |
| --- | --- |
| 1 | 10.85 |
| 2 | 9.56 |
| 3 | 10.77 |